# 1
# PBE-GGA LiGaCuAu, relaxed
data_LiGaCuAu
_space_group_name_H-M_alt 'P 1'
_space_group_IT_number 1
_space_group_name_Hall 'P 1'
_cell_length_a 2.891
_cell_length_b 5.183
_cell_length_c 4.484
_cell_angle_alpha 90.00
_cell_angle_beta 90.00
_cell_angle_gamma 106.19
loop_
_atom_site_label
_atom_site_fract_x
_atom_site_fract_y
_atom_site_fract_z
_atom_site_occupancy
Li1 0.790 0.580 0.500 1
Ga1 0.948 0.896 0.000 1
Cu1 0.059 0.118 0.500 1
Au1 0.215 0.431 0.000 1
# Uncorrected energy (eV/atom): -3.250
# Space group: Amm2, No. 38
# Magnetic moment (Bohr magnetons per cell): 0.00
# Energy of formation (eV/f.u.): -0.7

***

# 2
# PBE-GGA LiBeSiRh, relaxed
data_LiBeSiRh
_space_group_name_H-M_alt 'P 1'
_space_group_IT_number 1
_space_group_name_Hall 'P 1'
_cell_length_a 4.022
_cell_length_b 4.022
_cell_length_c 4.022
_cell_angle_alpha 60.00
_cell_angle_beta 60.00
_cell_angle_gamma 60.00
loop_
_atom_site_label
_atom_site_fract_x
_atom_site_fract_y
_atom_site_fract_z
_atom_site_occupancy
Li1 0.806 0.806 0.581 1
Be1 0.557 0.557 0.330 1
Si1 0.306 0.306 0.081 1
Rh1 0.056 0.056 0.831 1
# Uncorrected energy (eV/atom): -4.960
# Space group: F-43m, No. 216
# Magnetic moment (Bohr magnetons per cell): 0.00
# Relative energy among the computed polymorphs (meV/atom): 135.6
# Formation energy (no corrections) (meV per atom): -357

***

# 3
# PBE-GGA BaCu3Tc, relaxed
data_BaCu3Tc
_space_group_name_H-M_alt 'P 1'
_space_group_IT_number 1
_space_group_name_Hall 'P 1'
_cell_length_a 4.851
_cell_length_b 4.851
_cell_length_c 4.851
_cell_angle_alpha 90.00
_cell_angle_beta 90.00
_cell_angle_gamma 90.00
loop_
_atom_site_label
_atom_site_fract_x
_atom_site_fract_y
_atom_site_fract_z
_atom_site_occupancy
Ba1 0.500 0.500 0.500 1
Cu1 0.000 0.500 0.000 1
Cu2 0.000 0.000 0.500 1
Cu3 0.500 0.000 0.000 1
Tc1 0.000 0.000 0.000 1
# Uncorrected energy (eV/atom): -4.317
# Space group: Pm-3m, No. 221
# Magnetic moment (Bohr magnetons per cell): 1.64
# Energy of formation (eV/f.u.): 3.0

***

> What is the uncorrected energy in the second record?

-4.960 eV/atom

***

> Which formula does entry 1 have?

LiGaCuAu

***

What did the first record say?
# PBE-GGA LiGaCuAu, relaxed
data_LiGaCuAu
_space_group_name_H-M_alt 'P 1'
_space_group_IT_number 1
_space_group_name_Hall 'P 1'
_cell_length_a 2.891
_cell_length_b 5.183
_cell_length_c 4.484
_cell_angle_alpha 90.00
_cell_angle_beta 90.00
_cell_angle_gamma 106.19
loop_
_atom_site_label
_atom_site_fract_x
_atom_site_fract_y
_atom_site_fract_z
_atom_site_occupancy
Li1 0.790 0.580 0.500 1
Ga1 0.948 0.896 0.000 1
Cu1 0.059 0.118 0.500 1
Au1 0.215 0.431 0.000 1
# Uncorrected energy (eV/atom): -3.250
# Space group: Amm2, No. 38
# Magnetic moment (Bohr magnetons per cell): 0.00
# Energy of formation (eV/f.u.): -0.7